HfH2Pd: relaxed, PBE-GGA.

Cell lengths 3.9034, 3.9034, 3.9034 Å; angles 60.00, 60.00, 60.00 degrees
Last column: nearest neighbours and their distance in Å.
Atoms (fractional coordinates):
1 H 0.2500 0.2500 0.2500  4 Hf 2.39, 4 Pd 2.39
2 H 0.7500 0.7500 0.7500  4 Pd 2.39, 4 Hf 2.39
3 Hf 0.5000 0.5000 0.5000  8 H 2.39
4 Pd 0.0000 0.0000 0.0000  8 H 2.39



Hf2HPd: relaxed, PBE-GGA.

Cell lengths 6.1979, 6.1979, 5.4838 Å; angles 55.59, 55.59, 90.00 degrees
Last column: nearest neighbours and their distance in Å.
Atoms (fractional coordinates):
1 Pd 0.0000 0.0000 0.0000  4 Hf 2.67
2 Hf 0.2003 0.6250 0.2500  2 H 2.06
3 Hf 0.8750 0.7997 0.7500  2 H 2.06
4 Pd 0.7500 0.2500 0.5000  4 Hf 2.67
5 Hf 0.3750 0.4503 0.7500  2 H 2.06
6 H 0.2500 0.7500 0.5000  4 Hf 2.06
7 H 0.5000 0.5000 0.0000  4 Hf 2.06
8 Hf 0.5497 0.1250 0.2500  2 H 2.06



Hf3HPd: relaxed, PBE-GGA.

Cell lengths 4.3390, 4.3390, 4.3390 Å; angles 90.00, 90.00, 90.00 degrees
Last column: nearest neighbours and their distance in Å.
Atoms (fractional coordinates):
1 Hf 0.5000 0.0000 0.0000  2 H 2.17
2 H 0.0000 0.0000 0.0000  6 Hf 2.17
3 Hf 0.0000 0.5000 0.0000  2 H 2.17
4 Hf 0.0000 0.0000 0.5000  2 H 2.17
5 Pd 0.5000 0.5000 0.5000  12 Hf 3.07



Hf4HPd: relaxed, PBE-GGA.

Cell lengths 5.9045, 5.6920, 7.6229 Å; angles 110.77, 111.67, 92.77 degrees
Last column: nearest neighbours and their distance in Å.
Atoms (fractional coordinates):
1 Hf 0.7217 0.3412 0.4056  1 H 2.12
2 Hf 0.1839 0.0643 0.4056  1 H 2.12
3 H 0.0590 0.3090 0.6180  2 Hf 2.12
4 Hf 0.3549 0.1924 0.9174  1 H 2.63, 2 Pd 2.76-2.83
5 Hf 0.0625 0.7250 0.9174  1 H 2.63, 2 Pd 2.76-2.83
6 Pd 0.6217 0.3717 0.7433  8 Hf 2.76-2.83, 2 H 3.06
7 Hf 0.8161 0.9357 0.5944  1 H 2.12
8 H 0.9410 0.6910 0.3820  2 Hf 2.12
9 Hf 0.6451 0.8076 0.0826  1 H 2.63, 2 Pd 2.76-2.83
10 Pd 0.3783 0.6283 0.2567  8 Hf 2.76-2.83, 2 H 3.06
11 Hf 0.2783 0.6588 0.5944  1 H 2.12
12 Hf 0.9375 0.2750 0.0826  1 H 2.63, 2 Pd 2.76-2.83



Hf2HPd: relaxed, PBE-GGA.

Cell lengths 3.1946, 6.2569, 7.1881 Å; angles 109.50, 116.36, 75.24 degrees
Last column: nearest neighbours and their distance in Å.
Atoms (fractional coordinates):
1 Hf 0.4097 0.4769 0.1627  3 H 2.03-2.24
2 Pd 0.0833 0.8187 0.5094  1 H 2.28
3 Pd 0.5775 0.7408 0.9615  1 H 2.28
4 H 0.1626 0.4303 0.3920  5 Hf 2.03-2.27
5 Hf 0.9053 0.4533 0.6473  2 H 2.27
6 H 0.4983 0.1293 0.0790  5 Hf 2.03-2.27
7 Hf 0.2511 0.0826 0.3082  3 H 2.03-2.24
8 Hf 0.7555 0.1062 0.8236  2 H 2.27



Hf2HPd: relaxed, PBE-GGA.

Cell lengths 4.5288, 4.5288, 4.5288 Å; angles 60.00, 60.00, 60.00 degrees
Last column: nearest neighbours and their distance in Å.
Atoms (fractional coordinates):
1 H 0.0000 0.0000 0.0000  8 Hf 2.77
2 Pd 0.5000 0.5000 0.5000  8 Hf 2.77
3 Hf 0.7500 0.7500 0.7500  4 Pd 2.77, 4 H 2.77
4 Hf 0.2500 0.2500 0.2500  4 Pd 2.77, 4 H 2.77



Hf6HPd2: relaxed, PBE-GGA.

Cell lengths 5.8768, 6.1164, 9.3815 Å; angles 90.00, 90.51, 90.00 degrees
Last column: nearest neighbours and their distance in Å.
Atoms (fractional coordinates):
1 Hf 0.8713 0.7099 0.9544  1 H 2.57, 2 Pd 2.66-2.75
2 Hf 0.1340 0.3051 0.4561  1 H 2.07
3 Hf 0.1287 0.2901 0.0456  1 H 2.57, 2 Pd 2.66-2.75
4 Pd 0.1182 0.6171 0.2472  6 Hf 2.66-2.77
5 Hf 0.6287 0.2099 0.5456  1 H 2.57, 2 Pd 2.66-2.75
6 Hf 0.3713 0.7901 0.4544  1 H 2.57, 2 Pd 2.66-2.75
7 Hf 0.1716 0.0290 0.7520  1 H 2.57, 2 Pd 2.75-2.77
8 Pd 0.6182 0.8829 0.7472  6 Hf 2.66-2.77
9 H 0.0000 0.0000 0.5000  2 Hf 2.07
10 H 0.5000 0.5000 0.0000  2 Hf 2.07
11 Hf 0.6716 0.4710 0.2520  1 H 2.57, 2 Pd 2.75-2.77
12 Pd 0.8818 0.3829 0.7528  6 Hf 2.66-2.77
13 Hf 0.3284 0.5290 0.7480  1 H 2.57, 2 Pd 2.75-2.77
14 Hf 0.3660 0.8051 0.0439  1 H 2.07
15 Pd 0.3818 0.1171 0.2528  6 Hf 2.66-2.77
16 Hf 0.8660 0.6949 0.5439  1 H 2.07
17 Hf 0.6340 0.1949 0.9561  1 H 2.07
18 Hf 0.8284 0.9710 0.2480  1 H 2.57, 2 Pd 2.75-2.77



HfH2Pd: relaxed, PBE-GGA.

Cell lengths 4.2099, 4.2099, 5.7456 Å; angles 68.51, 68.51, 90.00 degrees
Last column: nearest neighbours and their distance in Å.
Atoms (fractional coordinates):
1 H 0.8750 0.8501 0.7500  2 Pd 1.87, 2 Hf 1.99
2 Hf 0.0000 0.0000 0.0000  4 H 1.99
3 H 0.1499 0.6250 0.2500  2 Pd 1.87, 2 Hf 1.99
4 Pd 0.5000 0.5000 0.0000  4 H 1.87
5 Hf 0.7500 0.2500 0.5000  4 H 1.99
6 Pd 0.2500 0.7500 0.5000  4 H 1.87
7 H 0.3750 0.3999 0.7500  2 Pd 1.87, 2 Hf 1.99
8 H 0.6001 0.1250 0.2500  2 Pd 1.87, 2 Hf 1.99



HfHPd2Pt: relaxed, PBE-GGA.

Cell lengths 4.0338, 4.0338, 4.2074 Å; angles 90.00, 90.00, 90.00 degrees
Last column: nearest neighbours and their distance in Å.
Atoms (fractional coordinates):
1 Pd 0.0000 0.5000 0.0000  2 H 2.02
2 H 0.0000 0.0000 0.0000  4 Pd 2.02, 2 Pt 2.10
3 Pt 0.0000 0.0000 0.5000  2 H 2.10
4 Pd 0.5000 0.0000 0.0000  2 H 2.02
5 Hf 0.5000 0.5000 0.5000  4 Pt 2.85, 8 Pd 2.91



HfHPd2Pt: relaxed, PBE-GGA.

Cell lengths 3.9909, 3.9909, 4.2731 Å; angles 90.00, 90.00, 90.00 degrees
Last column: nearest neighbours and their distance in Å.
Atoms (fractional coordinates):
1 Hf 0.0000 0.0000 0.5000  2 H 2.14
2 H 0.0000 0.0000 0.0000  4 Pd 2.00, 2 Hf 2.14
3 Pt 0.5000 0.5000 0.5000  4 Hf 2.82, 8 Pd 2.92
4 Pd 0.5000 0.0000 0.0000  2 H 2.00
5 Pd 0.0000 0.5000 0.0000  2 H 2.00



HfHPdRh2: relaxed, PBE-GGA.

Cell lengths 4.0394, 4.0394, 3.9543 Å; angles 90.00, 90.00, 90.00 degrees
Last column: nearest neighbours and their distance in Å.
Atoms (fractional coordinates):
1 H 0.0000 0.0000 0.0000  2 Pd 1.98, 4 Rh 2.02
2 Rh 0.5000 0.0000 0.0000  2 H 2.02
3 Hf 0.5000 0.5000 0.5000  8 Rh 2.83, 4 Pd 2.86
4 Rh 0.0000 0.5000 0.0000  2 H 2.02
5 Pd 0.0000 0.0000 0.5000  2 H 1.98



HfHPdRh2: relaxed, PBE-GGA.

Cell lengths 3.9558, 3.9558, 4.1410 Å; angles 90.00, 90.00, 90.00 degrees
Last column: nearest neighbours and their distance in Å.
Atoms (fractional coordinates):
1 Hf 0.0000 0.0000 0.5000  2 H 2.07
2 Pd 0.5000 0.5000 0.5000  4 Hf 2.80, 8 Rh 2.86
3 H 0.0000 0.0000 0.0000  4 Rh 1.98, 2 Hf 2.07
4 Rh 0.0000 0.5000 0.0000  2 H 1.98
5 Rh 0.5000 0.0000 0.0000  2 H 1.98



One value per record, in order, for calculated volume: 10.51; 15.83; 16.34; 18.15; 15.05; 16.42; 18.73; 10.89; 13.69; 13.61; 12.90; 12.96 Å³/atom.
One value per record, in order, for calculated total energy: -5.545; -7.455; -7.948; -8.304; -7.624; -7.141; -8.478; -5.703; -6.483; -6.549; -7.314; -7.242 eV per atom.